Record 1
DFT (PBE) results for an optimized crystal structure of Li2InBr2.

Unit cell a=8.495 b=8.495 c=3.468 alpha=90.00 beta=90.00 gamma=90.00
Space group P4/mbm (No. 127)
Unique sites:
Li 0.118 0.382 0.000 x4
In 0.000 0.000 0.000 x2
Br 0.144 0.644 0.500 x4

Output
* DFT total energy: -2.735 eV per atom
* uncorrected formation energy: -753 meV/atom
* total magnetization: 0.000 μB per formula unit
* energy relative to the lowest polymorph listed for this composition: 43 meV per atom
* Fermi-level density of states: 0.393 states/eV per atom

---

Record 2
DFT (PBE) results for an optimized crystal structure of Li2InBr6.

Unit cell a=6.793 b=7.070 c=10.568 alpha=90.00 beta=90.00 gamma=90.00
Space group Pnnm (No. 58)
Unique sites:
Li 0.000 0.000 0.176 x4
In 0.000 0.500 0.000 x2
Br 0.229 0.184 0.000 x4
Br 0.234 0.680 0.169 x8

Output
* DFT total energy: -2.785 eV per atom
* uncorrected formation energy: -940 meV/atom
* total magnetization: 0.000 μB per formula unit
* Fermi-level density of states: 0.738 states/eV per atom